1.
## Pr4Er3Tm (PBE)

Data for a relaxed Pr4Er3Tm crystal.

Results
Space-group type: C2/m (12)
VASP energy (eV/atom): -4.646
N(E_F) (states/eV per cell): 17.511
E_form (meV/atom): 14
Distance to the lowest polymorph of the same formula (meV per atom): 0

POSCAR file:
```
Pr4Er3Tm
1.0
23.376 0.000 0.000
0.000 3.609 0.000
-0.579 0.000 6.251
Pr Er Tm
8 6 2
Direct
0.125 0.000 0.374
0.125 0.500 0.874
0.375 0.000 0.126
0.375 0.500 0.626
0.625 0.000 0.874
0.625 0.500 0.374
0.875 0.000 0.626
0.875 0.500 0.126
0.000 0.000 0.000
0.250 0.000 0.750
0.250 0.500 0.250
0.500 0.500 0.000
0.750 0.000 0.250
0.750 0.500 0.750
0.000 0.500 0.500
0.500 0.000 0.500
```

=====

2.
## Tb3Ce2DyS6 (PBE)

Data for a relaxed Tb3Ce2DyS6 crystal.

Results
Space-group type: C2/m (12)
VASP energy (eV/atom): -6.619
Formation energy (no corrections) (meV/atom): -2025
N(E_F) (states/eV per cell): 11.845

POSCAR file:
```
Tb3Ce2DyS6
1.0
3.419 -5.929 0.000
3.419 5.929 0.000
-2.293 0.000 6.476
Tb Ce Dy S
3 2 1 6
Direct
0.000 0.000 0.000
0.333 0.667 0.000
0.667 0.333 0.000
0.166 0.834 0.500
0.834 0.166 0.500
0.500 0.500 0.500
0.087 0.415 0.245
0.257 0.257 0.756
0.415 0.087 0.245
0.585 0.913 0.755
0.743 0.743 0.244
0.913 0.585 0.755
```

=====

3.
## ZnSb3Ir (PBE)

Data for a relaxed ZnSb3Ir crystal.

Results
Space-group type: Pm-3m (221)
VASP energy (eV/atom): -3.361
Formation energy (no corrections) (meV/atom): 1139
N(E_F) (states/eV per cell): 2.798
Distance to the lowest polymorph of the same formula (meV per atom): 569

POSCAR file:
```
ZnSb3Ir
1.0
5.026 0.000 0.000
0.000 5.026 0.000
0.000 0.000 5.026
Zn Sb Ir
1 3 1
Direct
0.000 0.000 0.000
0.000 0.000 0.500
0.000 0.500 0.000
0.500 0.000 0.000
0.500 0.500 0.500
```

=====

4.
## V3NiSn (PBE)

Data for a relaxed V3NiSn crystal.

Results
Space-group type: Pm-3m (221)
VASP energy (eV/atom): -5.575
N(E_F) (states/eV per cell): 11.503
E_form (meV/atom): 1853
Distance to the lowest polymorph of the same formula (meV per atom): 1272

POSCAR file:
```
V3NiSn
1.0
5.026 0.000 0.000
0.000 5.026 0.000
0.000 0.000 5.026
V Ni Sn
3 1 1
Direct
0.000 0.000 0.500
0.000 0.500 0.000
0.500 0.000 0.000
0.500 0.500 0.500
0.000 0.000 0.000
```

=====

5.
## RuSNO2 (PBE)

Data for a relaxed RuSNO2 crystal.

Results
Space-group type: P4/mmm (123)
VASP energy (eV/atom): -5.750
Formation energy (no corrections) (meV/atom): 579
N(E_F) (states/eV per cell): 3.853

POSCAR file:
```
RuSNO2
1.0
3.817 0.000 0.000
0.000 3.817 0.000
0.000 0.000 3.970
Ru S N O
1 1 1 2
Direct
0.000 0.000 0.000
0.500 0.500 0.500
0.000 0.000 0.500
0.000 0.500 0.000
0.500 0.000 0.000
```

=====

6.
## BaIrF (PBE)

Data for a relaxed BaIrF crystal.

Results
Space-group type: C2/m (12)
VASP energy (eV/atom): -6.136
Formation energy (no corrections) (meV/atom): -1918
N(E_F) (states/eV per cell): 7.173
Distance to the lowest polymorph of the same formula (meV per atom): 0

POSCAR file:
```
BaIrF
1.0
7.266 0.000 0.000
0.000 4.364 0.000
-2.492 0.000 8.912
Ba Ir F
4 4 4
Direct
0.095 0.000 0.285
0.405 0.500 0.715
0.595 0.500 0.285
0.905 0.000 0.715
0.175 0.500 0.997
0.325 0.000 0.003
0.675 0.000 0.997
0.825 0.500 0.003
0.205 0.000 0.599
0.295 0.500 0.401
0.705 0.500 0.599
0.795 0.000 0.401
```

=====

7.
## SrBeTc2 (PBE)

Data for a relaxed SrBeTc2 crystal.

Results
Space-group type: Imm2 (44)
VASP energy (eV/atom): -5.683
N(E_F) (states/eV per cell): 6.710
E_form (meV/atom): 852

POSCAR file:
```
SrBeTc2
1.0
3.178 0.000 0.000
0.000 5.185 0.000
0.000 0.000 9.037
Sr Be Tc
2 2 4
Direct
0.000 0.000 0.000
0.500 0.500 0.500
0.000 0.500 0.205
0.500 0.000 0.705
0.000 0.000 0.498
0.000 0.500 0.792
0.500 0.000 0.292
0.500 0.500 0.998
```

=====

8.
## Ba2Zn7F18 (PBE)

Data for a relaxed Ba2Zn7F18 crystal.

Results
Space-group type: P-1 (2)
VASP energy (eV/atom): -4.395
Formation energy (no corrections) (meV/atom): -2675
N(E_F) (states/eV per cell): 0.000

POSCAR file:
```
Ba2Zn7F18
1.0
7.147 0.000 0.000
-3.292 6.673 0.000
-0.397 -0.825 7.585
Ba Zn F
2 7 18
Direct
0.184 0.310 0.368
0.816 0.690 0.632
0.108 0.731 0.123
0.309 0.130 0.820
0.320 0.620 0.807
0.500 0.000 0.500
0.680 0.380 0.193
0.691 0.870 0.180
0.892 0.269 0.877
0.000 0.072 0.813
0.000 0.928 0.187
0.020 0.442 0.677
0.180 0.488 0.026
0.200 0.824 0.878
0.218 0.991 0.558
0.390 0.230 0.074
0.397 0.395 0.713
0.406 0.871 0.239
0.424 0.720 0.574
0.576 0.280 0.426
0.594 0.129 0.761
0.603 0.605 0.287
0.610 0.770 0.926
0.782 0.009 0.442
0.800 0.176 0.122
0.820 0.512 0.974
0.980 0.558 0.323
```